Density functional theory data (PBE-GGA) for a geometry-optimized Sr2LiAlPd structure.

abc: 5.931 5.931 4.845
angles: 90.00 90.00 90.00
Fractional positions:
Sr: 0.000 0.500 0.000
Sr: 0.500 0.000 0.000
Li: 0.000 0.000 0.500
Al: 0.500 0.500 0.500
Pd: 0.500 0.500 0.000

Symmetry = P4/mmm (123)
Calculated density = 3.1 g cm⁻³
Final energy = -3.09 eV/atom
DFT formation energy = -0.246 eV/atom
Total moment = 0.000 μB/atom


Density functional theory data (PBE-GGA) for a geometry-optimized MnAgSe2N structure.

abc: 5.042 5.042 3.458
angles: 90.00 90.00 90.00
Fractional positions:
Mn: 0.000 0.000 0.000
Ag: 0.500 0.500 0.500
Se: 0.000 0.500 0.000
Se: 0.500 0.000 0.000
N: 0.000 0.000 0.500

Raw formation energy = 1.11 eV per formula unit
Symmetry = P4/mmm (123)
Calculated density = 6.3 g cm⁻³
Final energy = -5.24 eV/atom
Total moment = 0.260 μB/atom
Energy above the lowest structure with this stoichiometry = 0.000 eV/atom


Density functional theory data (PBE-GGA) for a geometry-optimized HoSi2Sb2Pt7 structure.

abc: 3.951 3.951 15.332
angles: 97.37 97.37 89.99
Fractional positions:
Ho: 0.000 0.000 0.000
Si: 0.382 0.382 0.761
Si: 0.618 0.618 0.239
Sb: 0.211 0.211 0.422
Sb: 0.789 0.789 0.578
Pt: 0.073 0.573 0.148
Pt: 0.302 0.302 0.605
Pt: 0.427 0.927 0.852
Pt: 0.500 0.500 0.000
Pt: 0.573 0.073 0.148
Pt: 0.698 0.698 0.395
Pt: 0.927 0.427 0.852

Raw formation energy = -8.36 eV per formula unit
Symmetry = C2/m (12)
Calculated density = 12.9 g cm⁻³
Final energy = -6.19 eV/atom
Total moment = 0.000 μB/atom


Density functional theory data (PBE-GGA) for a geometry-optimized BaBe2Rh structure.

abc: 4.057 4.057 4.797
angles: 90.00 90.00 90.00
Fractional positions:
Ba: 0.000 0.000 0.000
Be: 0.000 0.500 0.500
Be: 0.500 0.000 0.500
Rh: 0.500 0.500 0.000

Symmetry = P4/mmm (123)
Calculated density = 5.4 g cm⁻³
Final energy = -3.26 eV/atom
DFT formation energy = 0.924 eV/atom
Total moment = 0.000 μB/atom
Energy above the lowest structure with this stoichiometry = 1.115 eV/atom


Density functional theory data (PBE-GGA) for a geometry-optimized Na4HoNp3N8 structure.

abc: 6.931 6.931 6.931
angles: 59.95 59.95 59.95
Fractional positions:
Na: 0.000 0.000 0.000
Na: 0.000 0.500 0.500
Na: 0.500 0.000 0.500
Na: 0.500 0.500 0.000
Ho: 0.500 0.500 0.500
Np: 0.000 0.000 0.500
Np: 0.000 0.500 0.000
Np: 0.500 0.000 0.000
N: 0.204 0.740 0.740
N: 0.228 0.228 0.228
N: 0.260 0.260 0.796
N: 0.260 0.796 0.260
N: 0.740 0.204 0.740
N: 0.740 0.740 0.204
N: 0.772 0.772 0.772
N: 0.796 0.260 0.260

Raw formation energy = -14.33 eV per formula unit
Symmetry = R-3m (166)
Calculated density = 7.6 g cm⁻³
Final energy = -8.10 eV/atom
Total moment = 0.250 μB/atom


Density functional theory data (PBE-GGA) for a geometry-optimized BiSb2 structure.

abc: 3.331 17.303 6.398
angles: 90.00 90.00 90.00
Fractional positions:
Bi: 0.000 0.168 0.250
Bi: 0.000 0.832 0.750
Bi: 0.500 0.332 0.750
Bi: 0.500 0.668 0.250
Sb: 0.000 0.162 0.750
Sb: 0.000 0.499 0.250
Sb: 0.000 0.501 0.750
Sb: 0.000 0.838 0.250
Sb: 0.500 0.001 0.750
Sb: 0.500 0.338 0.250
Sb: 0.500 0.662 0.750
Sb: 0.500 0.999 0.250

Raw formation energy = 0.40 eV per formula unit
Symmetry = Cmcm (63)
Calculated density = 8.2 g cm⁻³
Final energy = -3.91 eV/atom
Total moment = 0.000 μB/atom
Energy above the lowest structure with this stoichiometry = 0.000 eV/atom


Density functional theory data (PBE-GGA) for a geometry-optimized Ac12Tl3Co5 structure.

abc: 15.594 15.594 15.594
angles: 109.47 109.47 109.47
Fractional positions:
Ac: 0.023 0.203 0.118
Ac: 0.023 0.320 0.904
Ac: 0.084 0.703 0.680
Ac: 0.084 0.882 0.404
Ac: 0.096 0.618 0.416
Ac: 0.096 0.977 0.680
Ac: 0.118 0.023 0.203
Ac: 0.118 0.596 0.916
Ac: 0.180 0.203 0.584
Ac: 0.180 0.477 0.596
Ac: 0.203 0.118 0.023
Ac: 0.203 0.584 0.180
Ac: 0.297 0.320 0.916
Ac: 0.297 0.477 0.382
Ac: 0.320 0.904 0.023
Ac: 0.320 0.916 0.297
Ac: 0.382 0.297 0.477
Ac: 0.382 0.584 0.904
Ac: 0.404 0.084 0.882
Ac: 0.404 0.820 0.523
Ac: 0.416 0.096 0.618
Ac: 0.416 0.820 0.797
Ac: 0.477 0.382 0.297
Ac: 0.477 0.596 0.180
Ac: 0.523 0.404 0.820
Ac: 0.523 0.618 0.703
Ac: 0.584 0.180 0.203
Ac: 0.584 0.904 0.382
Ac: 0.596 0.180 0.477
Ac: 0.596 0.916 0.118
Ac: 0.618 0.416 0.096
Ac: 0.618 0.703 0.523
Ac: 0.680 0.084 0.703
Ac: 0.680 0.096 0.977
Ac: 0.703 0.523 0.618
Ac: 0.703 0.680 0.084
Ac: 0.797 0.416 0.820
Ac: 0.797 0.882 0.977
Ac: 0.820 0.523 0.404
Ac: 0.820 0.797 0.416
Ac: 0.882 0.404 0.084
Ac: 0.882 0.977 0.797
Ac: 0.904 0.023 0.320
Ac: 0.904 0.382 0.584
Ac: 0.916 0.118 0.596
Ac: 0.916 0.297 0.320
Ac: 0.977 0.680 0.096
Ac: 0.977 0.797 0.882
Tl: 0.125 0.250 0.375
Tl: 0.125 0.375 0.750
Tl: 0.250 0.375 0.125
Tl: 0.250 0.875 0.625
Tl: 0.375 0.125 0.250
Tl: 0.375 0.750 0.125
Tl: 0.625 0.250 0.875
Tl: 0.625 0.875 0.750
Tl: 0.750 0.125 0.375
Tl: 0.750 0.625 0.875
Tl: 0.875 0.625 0.250
Tl: 0.875 0.750 0.625
Co: 0.000 0.000 0.000
Co: 0.000 0.000 0.500
Co: 0.000 0.500 0.000
Co: 0.000 0.500 0.500
Co: 0.125 0.750 0.875
Co: 0.125 0.875 0.250
Co: 0.250 0.125 0.875
Co: 0.250 0.625 0.375
Co: 0.375 0.250 0.625
Co: 0.375 0.625 0.750
Co: 0.500 0.000 0.000
Co: 0.500 0.000 0.500
Co: 0.500 0.500 0.000
Co: 0.500 0.500 0.500
Co: 0.625 0.375 0.250
Co: 0.625 0.750 0.375
Co: 0.750 0.375 0.625
Co: 0.750 0.875 0.125
Co: 0.875 0.125 0.750
Co: 0.875 0.250 0.125

Symmetry = Ia-3d (230)
Calculated density = 8.3 g cm⁻³
Final energy = -4.56 eV/atom
DFT formation energy = 0.038 eV/atom
Total moment = 0.000 μB/atom


Density functional theory data (PBE-GGA) for a geometry-optimized CoCu2Os structure.

abc: 2.611 3.604 5.245
angles: 90.00 90.00 90.00
Fractional positions:
Co: 0.000 0.000 0.000
Cu: 0.000 0.000 0.507
Cu: 0.500 0.500 0.280
Os: 0.500 0.500 0.795

Symmetry = Pmm2 (25)
Calculated density = 12.7 g cm⁻³
Final energy = -6.42 eV/atom
DFT formation energy = 0.213 eV/atom
Total moment = 0.000 μB/atom
Energy above the lowest structure with this stoichiometry = 0.040 eV/atom


Density functional theory data (PBE-GGA) for a geometry-optimized Cd6In3Ag structure.

abc: 3.236 3.236 25.661
angles: 90.00 90.00 120.00
Fractional positions:
Cd: 0.333 0.667 0.104
Cd: 0.333 0.667 0.411
Cd: 0.333 0.667 0.796
Cd: 0.667 0.333 0.204
Cd: 0.667 0.333 0.589
Cd: 0.667 0.333 0.896
In: 0.000 0.000 0.000
In: 0.000 0.000 0.308
In: 0.000 0.000 0.692
Ag: 0.000 0.000 0.500

Symmetry = P-3m1 (164)
Calculated density = 8.0 g cm⁻³
Final energy = -1.64 eV/atom
DFT formation energy = 0.020 eV/atom
Total moment = 0.000 μB/atom


Density functional theory data (PBE-GGA) for a geometry-optimized Ca2HgAs2 structure.

abc: 8.664 8.664 3.398
angles: 90.00 90.00 90.00
Fractional positions:
Ca: 0.141 0.359 0.000
Ca: 0.359 0.859 0.000
Ca: 0.641 0.141 0.000
Ca: 0.859 0.641 0.000
Hg: 0.000 0.000 0.000
Hg: 0.500 0.500 0.000
As: 0.161 0.661 0.500
As: 0.339 0.161 0.500
As: 0.661 0.839 0.500
As: 0.839 0.339 0.500

Symmetry = P4/mbm (127)
Calculated density = 5.6 g cm⁻³
Final energy = -3.36 eV/atom
DFT formation energy = -0.637 eV/atom
Total moment = 0.000 μB/atom


Density functional theory data (PBE-GGA) for a geometry-optimized CsAgHgF4 structure.

abc: 6.741 6.061 7.422
angles: 90.00 102.15 90.00
Fractional positions:
Cs: 0.183 0.250 0.091
Cs: 0.817 0.750 0.909
Ag: 0.392 0.250 0.675
Ag: 0.608 0.750 0.325
Hg: 0.152 0.750 0.467
Hg: 0.848 0.250 0.533
F: 0.104 0.013 0.696
F: 0.104 0.487 0.696
F: 0.270 0.750 0.189
F: 0.483 0.750 0.599
F: 0.517 0.250 0.401
F: 0.730 0.250 0.811
F: 0.896 0.513 0.304
F: 0.896 0.987 0.304

Raw formation energy = -11.60 eV per formula unit
Symmetry = P2_1/m (11)
Calculated density = 5.8 g cm⁻³
Final energy = -3.30 eV/atom
Total moment = 0.017 μB/atom


Density functional theory data (PBE-GGA) for a geometry-optimized VCdFe3 structure.

abc: 4.714 4.714 4.714
angles: 90.00 90.00 90.00
Fractional positions:
V: 0.000 0.000 0.000
Cd: 0.500 0.500 0.500
Fe: 0.000 0.500 0.500
Fe: 0.500 0.000 0.500
Fe: 0.500 0.500 0.000

Symmetry = Pm-3m (221)
Calculated density = 5.2 g cm⁻³
Final energy = -5.14 eV/atom
DFT formation energy = 1.949 eV/atom
Total moment = 2.343 μB/atom
Energy above the lowest structure with this stoichiometry = 1.004 eV/atom


Density functional theory data (PBE-GGA) for a geometry-optimized Pa2Si4Mo3 structure.

abc: 6.933 6.949 6.807
angles: 90.00 109.96 90.00
Fractional positions:
Pa: 0.190 0.167 0.058
Pa: 0.190 0.333 0.558
Pa: 0.810 0.667 0.442
Pa: 0.810 0.833 0.942
Si: 0.092 0.546 0.871
Si: 0.092 0.954 0.371
Si: 0.493 0.634 0.633
Si: 0.493 0.866 0.133
Si: 0.507 0.134 0.867
Si: 0.507 0.366 0.367
Si: 0.908 0.046 0.629
Si: 0.908 0.454 0.129
Mo: 0.241 0.661 0.255
Mo: 0.241 0.839 0.755
Mo: 0.500 0.000 0.500
Mo: 0.500 0.500 0.000
Mo: 0.759 0.161 0.245
Mo: 0.759 0.339 0.745

Raw formation energy = -5.00 eV per formula unit
Symmetry = P2_1/c (14)
Calculated density = 9.3 g cm⁻³
Final energy = -8.69 eV/atom
Total moment = 0.000 μB/atom


Density functional theory data (PBE-GGA) for a geometry-optimized Ac3Tl3Rh2 structure.

abc: 7.882 19.093 6.189
angles: 90.00 90.00 90.00
Fractional positions:
Ac: 0.057 0.104 0.144
Ac: 0.057 0.396 0.144
Ac: 0.156 0.250 0.687
Ac: 0.344 0.750 0.187
Ac: 0.443 0.604 0.644
Ac: 0.443 0.896 0.644
Ac: 0.557 0.104 0.356
Ac: 0.557 0.396 0.356
Ac: 0.656 0.250 0.813
Ac: 0.844 0.750 0.313
Ac: 0.943 0.604 0.856
Ac: 0.943 0.896 0.856
Tl: 0.162 0.750 0.694
Tl: 0.187 0.043 0.648
Tl: 0.187 0.457 0.648
Tl: 0.313 0.543 0.148
Tl: 0.313 0.957 0.148
Tl: 0.338 0.250 0.194
Tl: 0.662 0.750 0.806
Tl: 0.687 0.043 0.852
Tl: 0.687 0.457 0.852
Tl: 0.813 0.543 0.352
Tl: 0.813 0.957 0.352
Tl: 0.838 0.250 0.306
Rh: 0.102 0.634 0.407
Rh: 0.102 0.866 0.407
Rh: 0.398 0.134 0.907
Rh: 0.398 0.366 0.907
Rh: 0.602 0.634 0.093
Rh: 0.602 0.866 0.093
Rh: 0.898 0.134 0.593
Rh: 0.898 0.366 0.593

Symmetry = Pnma (62)
Calculated density = 10.7 g cm⁻³
Final energy = -4.71 eV/atom
DFT formation energy = -0.445 eV/atom
Total moment = 0.000 μB/atom
Energy above the lowest structure with this stoichiometry = 0.023 eV/atom


Density functional theory data (PBE-GGA) for a geometry-optimized Ni3S2 structure.

abc: 4.173 5.610 5.696
angles: 90.00 90.28 90.00
Fractional positions:
Ni: 0.000 0.000 0.000
Ni: 0.248 0.641 0.625
Ni: 0.252 0.141 0.375
Ni: 0.500 0.500 0.000
Ni: 0.748 0.141 0.625
Ni: 0.752 0.641 0.375
S: 0.242 0.743 0.247
S: 0.258 0.243 0.753
S: 0.742 0.243 0.247
S: 0.758 0.743 0.753

Raw formation energy = -1.20 eV per formula unit
Symmetry = C2 (5)
Calculated density = 6.0 g cm⁻³
Final energy = -5.36 eV/atom
Total moment = 0.000 μB/atom


Density functional theory data (PBE-GGA) for a geometry-optimized ZrFePb3 structure.

abc: 5.055 5.055 5.055
angles: 90.00 90.00 90.00
Fractional positions:
Zr: 0.000 0.000 0.000
Fe: 0.500 0.500 0.500
Pb: 0.000 0.500 0.500
Pb: 0.500 0.000 0.500
Pb: 0.500 0.500 0.000

Symmetry = Pm-3m (221)
Calculated density = 9.9 g cm⁻³
Final energy = -4.91 eV/atom
DFT formation energy = 0.715 eV/atom
Total moment = 0.000 μB/atom
Energy above the lowest structure with this stoichiometry = 0.000 eV/atom


Density functional theory data (PBE-GGA) for a geometry-optimized Ce4CdP5 structure.

abc: 16.165 16.165 16.165
angles: 14.66 14.66 14.66
Fractional positions:
Ce: 0.104 0.104 0.104
Ce: 0.299 0.299 0.299
Ce: 0.701 0.701 0.701
Ce: 0.896 0.896 0.896
Cd: 0.500 0.500 0.500
P: 0.000 0.000 0.000
P: 0.198 0.198 0.198
P: 0.403 0.403 0.403
P: 0.597 0.597 0.597
P: 0.802 0.802 0.802

Symmetry = R-3m (166)
Calculated density = 5.8 g cm⁻³
Final energy = -6.33 eV/atom
DFT formation energy = -1.162 eV/atom
Total moment = 0.207 μB/atom


Density functional theory data (PBE-GGA) for a geometry-optimized Tb2Ce2Al3 structure.

abc: 4.317 23.424 3.279
angles: 90.00 90.00 90.00
Fractional positions:
Tb: 0.000 0.071 0.000
Tb: 0.000 0.929 0.000
Tb: 0.500 0.429 0.000
Tb: 0.500 0.571 0.000
Ce: 0.000 0.213 0.000
Ce: 0.000 0.787 0.000
Ce: 0.500 0.287 0.000
Ce: 0.500 0.713 0.000
Al: 0.000 0.359 0.500
Al: 0.000 0.500 0.500
Al: 0.000 0.641 0.500
Al: 0.500 0.000 0.500
Al: 0.500 0.141 0.500
Al: 0.500 0.859 0.500

Symmetry = Cmmm (65)
Calculated density = 6.8 g cm⁻³
Final energy = -4.89 eV/atom
DFT formation energy = -0.267 eV/atom
Total moment = 0.091 μB/atom


Density functional theory data (PBE-GGA) for a geometry-optimized TaAlH structure.

abc: 2.980 4.936 5.300
angles: 96.41 101.96 102.21
Fractional positions:
Ta: 0.201 0.223 0.356
Ta: 0.799 0.777 0.644
Al: 0.442 0.750 0.101
Al: 0.558 0.250 0.899
H: 0.202 0.624 0.413
H: 0.798 0.376 0.587

Symmetry = P-1 (2)
Calculated density = 9.4 g cm⁻³
Final energy = -6.43 eV/atom
Total moment = 0.000 μB/atom
Energy above the lowest structure with this stoichiometry = 0.056 eV/atom


Density functional theory data (PBE-GGA) for a geometry-optimized OsSe2BrN structure.

abc: 5.143 5.143 3.714
angles: 90.00 90.00 90.00
Fractional positions:
Os: 0.000 0.000 0.000
Se: 0.000 0.500 0.000
Se: 0.500 0.000 0.000
Br: 0.500 0.500 0.500
N: 0.000 0.000 0.500

Raw formation energy = 2.68 eV per formula unit
Symmetry = P4/mmm (123)
Calculated density = 7.5 g cm⁻³
Final energy = -5.10 eV/atom
Total moment = 0.000 μB/atom
Energy above the lowest structure with this stoichiometry = 0.000 eV/atom